CaTe2P | GGA-PBE | optimized geometry

Computed properties:
Total energy, eV per cell: -13.8
ΔE_f (raw), meV/atom: -34
Fermi-level density of states, states/eV/atom: 1.107
Theoretical density, g cm⁻³: 5.14

Lattice parameters (Å, degrees): 5.3006 5.3006 5.3006 60.00 60.00 60.00
Element x y z (fractional)
Ca: 0.0000 0.0000 0.0000
Te: 0.2500 0.2500 0.2500
Te: 0.5000 0.5000 0.5000
P: 0.7500 0.7500 0.7500

Ti2H2Ru | GGA-PBE | optimized geometry

Computed properties:
Total energy, eV per cell: -33.8
Fermi-level density of states, states/eV/atom: 0.179
Theoretical density, g cm⁻³: 6.21

Lattice parameters (Å, degrees): 2.9841 2.9841 5.9718 90.00 90.00 90.00
Element x y z (fractional)
Ti: 0.0000 0.0000 0.2354
Ti: 0.0000 0.0000 0.7646
H: 0.0000 0.5000 0.0000
H: 0.5000 0.0000 0.0000
Ru: 0.5000 0.5000 0.5000

Pt2Pb2S | GGA-PBE | optimized geometry

Computed properties:
Total energy, eV per cell: -24.2
ΔE_f (raw), meV/atom: -119
Fermi-level density of states, states/eV/atom: 0.396
Theoretical density, g cm⁻³: 12.08

Lattice parameters (Å, degrees): 8.4412 8.4412 8.4412 154.05 154.05 37.02
Element x y z (fractional)
Pt: 0.2500 0.7500 0.5000
Pt: 0.7500 0.2500 0.5000
Pb: 0.1043 0.1043 0.0000
Pb: 0.8957 0.8957 0.0000
S: 0.5000 0.5000 0.0000

Pr6SmY4 | GGA-PBE | optimized geometry

Computed properties:
Total energy, eV per cell: -56.2
Fermi-level density of states, states/eV/atom: 1.612
Theoretical density, g cm⁻³: 5.74
Formation energy from the elements, meV per atom: 274

Lattice parameters (Å, degrees): 10.0320 10.0320 10.0320 141.36 141.36 55.79
Element x y z (fractional)
Pr: 0.0000 0.5000 0.5000
Pr: 0.1880 0.1880 0.6437
Pr: 0.4557 0.8120 0.0000
Pr: 0.5000 0.0000 0.5000
Pr: 0.5443 0.5443 0.3563
Pr: 0.8120 0.4557 0.0000
Sm: 0.0000 0.0000 0.0000
Y: 0.0084 0.6379 0.0000
Y: 0.3621 0.3621 0.3705
Y: 0.6379 0.0084 0.0000
Y: 0.9916 0.9916 0.6295

Ce2HSe3 | GGA-PBE | optimized geometry

Computed properties:
Total energy, eV per cell: -67.3
Fermi-level density of states, states/eV/atom: 1.499
Theoretical density, g cm⁻³: 5.38

Lattice parameters (Å, degrees): 8.1679 8.1679 8.1679 131.42 75.15 126.49
Element x y z (fractional)
Ce: 0.1293 0.2351 0.3643
Ce: 0.3707 0.7351 0.1058
Ce: 0.6293 0.2649 0.8942
Ce: 0.8707 0.7649 0.6357
H: 0.0000 0.5000 0.5000
H: 0.5000 0.0000 0.5000
Se: 0.0201 0.7500 0.2701
Se: 0.2500 0.2500 0.0000
Se: 0.4799 0.7500 0.7299
Se: 0.5201 0.2500 0.2701
Se: 0.7500 0.7500 0.0000
Se: 0.9799 0.2500 0.7299

DyCu2Te2 | GGA-PBE | optimized geometry

Computed properties:
Total energy, eV per cell: -43.1
ΔE_f (raw), meV/atom: -496
Fermi-level density of states, states/eV/atom: 0.351
Theoretical density, g cm⁻³: 7.46

Lattice parameters (Å, degrees): 7.6788 7.6788 6.0462 112.12 112.12 112.45
Element x y z (fractional)
Dy: 0.1113 0.8887 0.7500
Dy: 0.8887 0.1113 0.2500
Cu: 0.2926 0.3624 0.9178
Cu: 0.3624 0.2926 0.4178
Cu: 0.6376 0.7074 0.5822
Cu: 0.7074 0.6376 0.0822
Te: 0.1414 0.8586 0.2500
Te: 0.3625 0.6375 0.7500
Te: 0.6375 0.3625 0.2500
Te: 0.8586 0.1414 0.7500

LaCd2Pt | GGA-PBE | optimized geometry

Computed properties:
Total energy, eV per cell: -13.5
Fermi-level density of states, states/eV/atom: 0.748
Theoretical density, g cm⁻³: 9.77
Formation energy from the elements, meV per atom: -175

Lattice parameters (Å, degrees): 6.1118 6.1118 3.0994 90.00 90.00 124.89
Element x y z (fractional)
La: 0.0000 0.0000 0.0000
Cd: 0.0000 0.5000 0.5000
Cd: 0.5000 0.0000 0.5000
Pt: 0.5000 0.5000 0.0000

Ba2PaCdBi6 | GGA-PBE | optimized geometry

Computed properties:
Total energy, eV per cell: -38.7
Fermi-level density of states, states/eV/atom: 0.947
Theoretical density, g cm⁻³: 7.70
Formation energy from the elements, meV per atom: -111

Lattice parameters (Å, degrees): 8.2964 8.2964 8.2964 60.00 60.00 60.00
Element x y z (fractional)
Ba: 0.2500 0.2500 0.2500
Ba: 0.7500 0.7500 0.7500
Pa: 0.0000 0.0000 0.0000
Cd: 0.5000 0.5000 0.5000
Bi: 0.2534 0.2534 0.7466
Bi: 0.2534 0.7466 0.2534
Bi: 0.2534 0.7466 0.7466
Bi: 0.7466 0.2534 0.2534
Bi: 0.7466 0.2534 0.7466
Bi: 0.7466 0.7466 0.2534

Q: theoretical density of number 7 (LaCd2Pt)?
A: 9.77 g cm⁻³